1.
# LiBiRh2 | the Alexandria database | PBE | relaxed
data_LiBiRh2
_space_group_name_H-M_alt 'F m -3 m'
_space_group_IT_number 225
_space_group_name_Hall '-F 4 2 3'
_cell_length_a 6.3480
_cell_length_b 6.3480
_cell_length_c 6.3480
_cell_angle_alpha 90.00
_cell_angle_beta 90.00
_cell_angle_gamma 90.00
loop_
_atom_site_label
_atom_site_fract_x
_atom_site_fract_y
_atom_site_fract_z
_atom_site_occupancy
Li1 0.0000 0.0000 0.0000 1
Bi1 0.0000 0.0000 0.5000 1
Rh1 0.2500 0.2500 0.2500 1
# - Density of states at the Fermi level: 1.89 states/eV/f.u.
# - Excess energy over the best structure of this formula in the dataset: 0.0 meV per atom
# - E_tot: -5.4146 eV/atom
# - Energy relative to the elements: -0.29 eV per atom



2.
# Tb5Y5Th2 | the Alexandria database | PBE | relaxed
data_Tb5Y5Th2
_space_group_name_H-M_alt 'C 1 2/m 1'
_space_group_IT_number 12
_space_group_name_Hall '-C 2y'
_cell_length_a 15.1455
_cell_length_b 5.0581
_cell_length_c 11.2949
_cell_angle_alpha 90.00
_cell_angle_beta 116.62
_cell_angle_gamma 90.00
loop_
_atom_site_label
_atom_site_fract_x
_atom_site_fract_y
_atom_site_fract_z
_atom_site_occupancy
Tb1 0.0000 0.0000 0.0000 1
Tb2 0.0829 0.0000 0.7484 1
Tb3 0.2492 0.5000 0.7450 1
Y1 0.0000 0.5000 0.5000 1
Y2 0.0851 0.5000 0.2540 1
Y3 0.1674 0.5000 0.0015 1
Th1 0.1690 0.0000 0.5002 1
# - Density of states at the Fermi level: 17.11 states/eV/f.u.
# - E_tot: -5.8301 eV/atom
# - Energy relative to the elements: 0.03 eV per atom



3.
# CdSi2Rh | the Alexandria database | PBE | relaxed
data_CdSi2Rh
_space_group_name_H-M_alt 'R 3 m'
_space_group_IT_number 160
_space_group_name_Hall 'R 3 -2"'
_cell_length_a 3.0562
_cell_length_b 3.0562
_cell_length_c 24.2387
_cell_angle_alpha 90.00
_cell_angle_beta 90.00
_cell_angle_gamma 120.00
loop_
_atom_site_label
_atom_site_fract_x
_atom_site_fract_y
_atom_site_fract_z
_atom_site_occupancy
Cd1 0.0000 0.0000 0.0000 1
Si1 0.0000 0.0000 0.2357 1
Si2 0.0000 0.0000 0.4951 1
Rh1 0.0000 0.0000 0.7615 1
# - Density of states at the Fermi level: 3.39 states/eV/f.u.
# - Formation energy from raw total energies: -0.0164 eV per atom
# - E_tot: -4.7946 eV/atom



4.
# ZrNiTe2I | the Alexandria database | PBE | relaxed
data_ZrNiTe2I
_space_group_name_H-M_alt 'P 4/m m m'
_space_group_IT_number 123
_space_group_name_Hall '-P 4 2'
_cell_length_a 5.0834
_cell_length_b 5.0834
_cell_length_c 5.0249
_cell_angle_alpha 90.00
_cell_angle_beta 90.00
_cell_angle_gamma 90.00
loop_
_atom_site_label
_atom_site_fract_x
_atom_site_fract_y
_atom_site_fract_z
_atom_site_occupancy
Zr1 0.0000 0.0000 0.0000 1
Ni1 0.5000 0.5000 0.5000 1
Te1 0.0000 0.5000 0.5000 1
I1 0.5000 0.5000 0.0000 1
# - Density of states at the Fermi level: 5.41 states/eV/f.u.
# - Formation energy from raw total energies: 0.2838 eV per atom
# - Excess energy over the best structure of this formula in the dataset: 0.0 meV per atom
# - E_tot: -4.1488 eV/atom